1.
DFT (PBE) results for Sr2ZrAg after structural relaxation.

Values from the calculation:
* offset from the most stable computed form: 249 meV per atom
* DOS(E_F): 5.6 states/eV/f.u.
* space-group type: No. 12
* total energy: -3.271 eV/atom
* total magnetization: 1.89 μB per formula unit
* formation energy from the elements: 419 meV/atom

a b c (Å): 12.7841 3.8835 5.6610
angles (deg): 90.00 116.19 90.00
Last column: nearest neighbours and their distance in Å.
Fractional positions:
Sr 0.2113 0.0000 0.2114  2 Ag 3.11
Sr 0.2887 0.5000 0.7886  2 Ag 3.11
Sr 0.7113 0.5000 0.2114  2 Ag 3.11
Sr 0.7887 0.0000 0.7886  2 Ag 3.11
Zr 0.0000 0.0000 0.5000  4 Ag 3.43, 8 Sr 3.72-3.84
Zr 0.5000 0.5000 0.5000  4 Ag 3.43, 8 Sr 3.72-3.84
Ag 0.0000 0.5000 0.0000  4 Sr 3.11, 4 Zr 3.43
Ag 0.5000 0.0000 0.0000  4 Sr 3.11, 4 Zr 3.43



2.
DFT (PBE) results for SrZr2Ag after structural relaxation.

Values from the calculation:
* offset from the most stable computed form: 0 meV per atom
* DOS(E_F): 3.1 states/eV/f.u.
* space-group type: No. 99
* total energy: -5.341 eV/atom
* total magnetization: 0.00 μB per formula unit
* formation energy from the elements: 66 meV/atom

a b c (Å): 3.4120 3.4120 9.0490
angles (deg): 90.00 90.00 90.00
Last column: nearest neighbours and their distance in Å.
Fractional positions:
Sr 0.0000 0.0000 0.0000  4 Ag 3.37, 4 Sr 3.41
Zr 0.0000 0.0000 0.4526  4 Ag 2.98, 4 Zr 3.11
Zr 0.5000 0.5000 0.6693  8 Zr 3.11-3.41
Ag 0.5000 0.5000 0.2595  4 Zr 2.98



3.
DFT (PBE) results for Sr2ZrAg after structural relaxation.

Values from the calculation:
* offset from the most stable computed form: 212 meV per atom
* DOS(E_F): 4.7 states/eV/f.u.
* space-group type: No. 123
* total energy: -3.309 eV/atom
* total magnetization: 1.21 μB per formula unit
* formation energy from the elements: 382 meV/atom

a b c (Å): 5.8821 5.8821 3.6999
angles (deg): 90.00 90.00 90.00
Last column: nearest neighbours and their distance in Å.
Fractional positions:
Sr 0.0000 0.5000 0.0000  4 Zr 3.47, 4 Ag 3.47, 2 Sr 3.70
Sr 0.5000 0.0000 0.0000  4 Zr 3.47, 4 Ag 3.47, 2 Sr 3.70
Zr 0.0000 0.0000 0.5000  8 Sr 3.47, 2 Zr 3.70
Ag 0.5000 0.5000 0.5000  8 Sr 3.47, 2 Ag 3.70



4.
DFT (PBE) results for Sr2ZrAg after structural relaxation.

Values from the calculation:
* offset from the most stable computed form: 303 meV per atom
* DOS(E_F): 5.4 states/eV/f.u.
* space-group type: No. 139
* total energy: -3.218 eV/atom
* total magnetization: 3.05 μB per formula unit
* formation energy from the elements: 473 meV/atom

a b c (Å): 5.1075 5.1075 9.8937
angles (deg): 90.00 90.00 90.00
Last column: nearest neighbours and their distance in Å.
Fractional positions:
Sr 0.0000 0.5000 0.2500  4 Zr 3.56, 4 Ag 3.56, 4 Sr 3.61
Sr 0.0000 0.5000 0.7500  4 Ag 3.56, 4 Zr 3.56, 4 Sr 3.61
Sr 0.5000 0.0000 0.2500  4 Zr 3.56, 4 Ag 3.56, 4 Sr 3.61
Sr 0.5000 0.0000 0.7500  4 Ag 3.56, 4 Zr 3.56, 4 Sr 3.61
Zr 0.0000 0.0000 0.0000  8 Sr 3.56, 4 Ag 3.61
Zr 0.5000 0.5000 0.5000  8 Sr 3.56, 4 Ag 3.61
Ag 0.0000 0.0000 0.5000  8 Sr 3.56, 4 Zr 3.61
Ag 0.5000 0.5000 0.0000  8 Sr 3.56, 4 Zr 3.61



5.
DFT (PBE) results for Sr2ZrAg after structural relaxation.

Values from the calculation:
* offset from the most stable computed form: 184 meV per atom
* DOS(E_F): 4.8 states/eV/f.u.
* space-group type: No. 166
* total energy: -3.337 eV/atom
* total magnetization: 0.00 μB per formula unit
* formation energy from the elements: 354 meV/atom

a b c (Å): 3.7190 3.7190 32.3043
angles (deg): 90.00 90.00 120.00
Last column: nearest neighbours and their distance in Å.
Fractional positions:
Sr 0.0000 0.0000 0.2441  3 Ag 3.30, 3 Zr 3.59
Sr 0.0000 0.0000 0.7559  3 Ag 3.30, 3 Zr 3.59
Sr 0.3333 0.6667 0.4226  3 Ag 3.30, 3 Zr 3.59
Sr 0.3333 0.6667 0.9108  3 Ag 3.30, 3 Zr 3.59
Sr 0.6667 0.3333 0.0892  3 Ag 3.30, 3 Zr 3.59
Sr 0.6667 0.3333 0.5774  3 Ag 3.30, 3 Zr 3.59
Zr 0.0000 0.0000 0.0000  6 Sr 3.59, 6 Zr 3.72
Zr 0.3333 0.6667 0.6667  6 Sr 3.59, 6 Zr 3.72
Zr 0.6667 0.3333 0.3333  6 Sr 3.59, 6 Zr 3.72
Ag 0.0000 0.0000 0.5000  6 Sr 3.30
Ag 0.3333 0.6667 0.1667  6 Sr 3.30
Ag 0.6667 0.3333 0.8333  6 Sr 3.30



6.
DFT (PBE) results for SrZrAg3 after structural relaxation.

Values from the calculation:
* offset from the most stable computed form: 0 meV per atom
* DOS(E_F): 4.8 states/eV/f.u.
* space-group type: No. 221
* total energy: -3.300 eV/atom
* total magnetization: 0.35 μB per formula unit
* formation energy from the elements: 457 meV/atom

a b c (Å): 5.3396 5.3396 5.3396
angles (deg): 90.00 90.00 90.00
Last column: nearest neighbours and their distance in Å.
Fractional positions:
Sr 0.0000 0.0000 0.0000  12 Ag 3.78
Zr 0.5000 0.5000 0.5000  6 Ag 2.67
Ag 0.0000 0.5000 0.5000  2 Zr 2.67
Ag 0.5000 0.0000 0.5000  2 Zr 2.67
Ag 0.5000 0.5000 0.0000  2 Zr 2.67



7.
DFT (PBE) results for SrZr2Ag after structural relaxation.

Values from the calculation:
* offset from the most stable computed form: 430 meV per atom
* DOS(E_F): 5.2 states/eV/f.u.
* space-group type: No. 47
* total energy: -4.911 eV/atom
* total magnetization: 0.00 μB per formula unit
* formation energy from the elements: 496 meV/atom

a b c (Å): 3.2406 4.9933 6.2008
angles (deg): 90.00 90.00 90.00
Last column: nearest neighbours and their distance in Å.
Fractional positions:
Sr 0.0000 0.0000 0.0000  2 Ag 3.10, 2 Sr 3.24, 8 Zr 3.41
Zr 0.5000 0.5000 0.2695  1 Zr 2.86
Zr 0.5000 0.5000 0.7305  1 Zr 2.86
Ag 0.0000 0.0000 0.5000  2 Sr 3.10, 2 Ag 3.24, 8 Zr 3.30



8.
DFT (PBE) results for SrZr2Ag after structural relaxation.

Values from the calculation:
* offset from the most stable computed form: 103 meV per atom
* DOS(E_F): 4.0 states/eV/f.u.
* space-group type: No. 71
* total energy: -5.238 eV/atom
* total magnetization: 0.00 μB per formula unit
* formation energy from the elements: 169 meV/atom

a b c (Å): 3.3155 5.2622 11.8631
angles (deg): 90.00 90.00 90.00
Last column: nearest neighbours and their distance in Å.
Fractional positions:
Sr 0.0000 0.0000 0.0000  4 Ag 3.11, 2 Sr 3.32
Sr 0.5000 0.5000 0.5000  4 Ag 3.11, 2 Sr 3.32
Zr 0.0000 0.5000 0.2163  2 Ag 3.05, 6 Zr 3.21-3.32
Zr 0.0000 0.5000 0.7837  2 Ag 3.05, 6 Zr 3.21-3.32
Zr 0.5000 0.0000 0.2837  2 Ag 3.05, 6 Zr 3.21-3.32
Zr 0.5000 0.0000 0.7163  2 Ag 3.05, 6 Zr 3.21-3.32
Ag 0.0000 0.0000 0.5000  4 Zr 3.05, 4 Sr 3.11, 2 Ag 3.32
Ag 0.5000 0.5000 0.0000  4 Zr 3.05, 4 Sr 3.11, 2 Ag 3.32